Record 1
# Ag2BPdO4 (GGA-PBE, relaxed)
data_Ag2BPdO4
_chemical_formula_sum 'Ag2 B1 Pd1 O4'
_cell_length_a 5.528
_cell_length_b 5.687
_cell_length_c 4.961
_cell_angle_alpha 125.40
_cell_angle_beta 124.29
_cell_angle_gamma 89.37
_space_group_name_H-M_alt 'P 1'
_space_group_IT_number 1
_space_group_name_Hall 'P 1'
loop_
_atom_site_label
_atom_site_fract_x
_atom_site_fract_y
_atom_site_fract_z
Ag1 0.463 0.963 0.925
Ag2 0.245 0.244 0.488
B1 0.742 0.742 0.483
Pd1 0.944 0.444 0.888
O1 0.768 0.732 0.796
O2 0.772 0.464 0.199
O3 0.427 0.734 0.199
O4 0.027 0.064 0.795
# formation energy without anion corrections: -738 meV/atom
# V: 92.8 Å³/f.u.
# total moment: 0.008 μB/atom
# total energy: -5.4136 eV per atom

=====

Record 2
# ScPtSCl2 (GGA-PBE, relaxed)
data_ScPtSCl2
_chemical_formula_sum 'Sc1 Pt1 S1 Cl2'
_cell_length_a 4.792
_cell_length_b 4.792
_cell_length_c 5.177
_cell_angle_alpha 90.00
_cell_angle_beta 90.00
_cell_angle_gamma 90.00
_space_group_name_H-M_alt 'P 1'
_space_group_IT_number 1
_space_group_name_Hall 'P 1'
loop_
_atom_site_label
_atom_site_fract_x
_atom_site_fract_y
_atom_site_fract_z
Sc1 0.000 0.000 0.000
S1 0.000 0.000 0.500
Pt1 0.500 0.500 0.500
Cl1 0.000 0.500 0.000
Cl2 0.500 0.000 0.000
# energy above the lowest structure with this stoichiometry: 0 meV/atom
# formation energy without anion corrections: -409 meV/atom
# V: 118.9 Å³/f.u.
# total moment: 0.199 μB/atom
# total energy: -4.4478 eV per atom

=====

Record 3
# SiHg (GGA-PBE, relaxed)
data_SiHg
_chemical_formula_sum 'Si6 Hg6'
_cell_length_a 7.315
_cell_length_b 7.315
_cell_length_c 7.315
_cell_angle_alpha 90.00
_cell_angle_beta 90.00
_cell_angle_gamma 90.00
_space_group_name_H-M_alt 'P 1'
_space_group_IT_number 1
_space_group_name_Hall 'P 1'
loop_
_atom_site_label
_atom_site_fract_x
_atom_site_fract_y
_atom_site_fract_z
Si1 0.250 0.500 0.000
Si2 0.750 0.500 0.000
Si3 0.500 0.000 0.250
Si4 0.500 0.000 0.750
Si5 0.000 0.250 0.500
Si6 0.000 0.750 0.500
Hg1 0.250 0.000 0.500
Hg2 0.750 0.000 0.500
Hg3 0.000 0.500 0.250
Hg4 0.000 0.500 0.750
Hg5 0.500 0.250 0.000
Hg6 0.500 0.750 0.000
# energy above the lowest structure with this stoichiometry: 593 meV/atom
# formation energy without anion corrections: 738 meV/atom
# V: 65.2 Å³/f.u.
# total moment: 0.000 μB/atom
# total energy: -2.1240 eV per atom